<P>
Here is a geometry-optimized Y3ErRh2 structure from Alexandria via LeMat-Bulk. Energies are from GGA-PBE.

Results
The value obtained for the magnetization is 0.0 μB per cell. The value obtained for the density of states at the Fermi level is 4.29 states/eV/f.u.

Unit cell a=15.474 b=4.234 c=4.752 alpha=90.00 beta=107.88 gamma=90.00
Space group C2/m (No. 12)
Symmetry-distinct sites (fractional):
Y 0.000 0.000 0.000 x2
Y 0.186 0.500 0.186 x4
Er 0.000 0.500 0.500 x2
Rh 0.128 0.000 0.627 x4

<Q>
Here is a geometry-optimized Y3ErRh2 structure from Alexandria via LeMat-Bulk. Energies are from GGA-PBE.

Results
The value obtained for the magnetization is 0.0 μB per cell. The value obtained for the density of states at the Fermi level is 5.23 states/eV/f.u.

Unit cell a=6.696 b=13.556 c=7.112 alpha=90.00 beta=90.00 gamma=90.00
Space group Ibam (No. 72)
Symmetry-distinct sites (fractional):
Y 0.000 0.000 0.250 x4
Y 0.000 0.269 0.250 x8
Er 0.000 0.500 0.000 x4
Rh 0.214 0.137 0.000 x8

Of the structures shown above, <Q> is the most stable.